# 1
Compound: Pu2NiWN5
Source: Alexandria
Functional: PBE-GGA
Structure: optimized geometry

Unit cell a=3.173 b=6.658 c=9.979 alpha=90.00 beta=90.00 gamma=103.78
Site moments in Bohr magnetons follow the coordinates.
Atoms (fractional coordinates):
Pu: 0.862 0.724 0.802  4.09
Pu: 0.110 0.221 0.686  4.27
Pu: 0.138 0.276 0.302  4.09
Pu: 0.890 0.779 0.186  4.27
Ni: 0.508 0.016 0.971  -0.76
Ni: 0.492 0.984 0.471  -0.76
W: 0.803 0.606 0.506  0.04
W: 0.197 0.394 0.006  0.04
N: 0.356 0.711 0.001  -0.19
N: 0.691 0.382 0.861  -0.18
N: 0.491 0.982 0.779  -0.30
N: 0.289 0.579 0.649  -0.16
N: 0.950 0.899 0.567  -0.16
N: 0.644 0.289 0.501  -0.19
N: 0.309 0.618 0.361  -0.18
N: 0.509 0.018 0.279  -0.30
N: 0.711 0.421 0.149  -0.16
N: 0.050 0.101 0.067  -0.16

Results
Volume, A^3/atom: 11.4
N(E_F), states/eV per atom: 1.23
Total magnetic moment, μB/cell: 13.201
Uncorrected formation energy, eV per atom: -0.63

=====

# 2
Compound: YPu2NiN4
Source: Alexandria
Functional: PBE-GGA
Structure: optimized geometry

Unit cell a=3.411 b=5.801 c=11.397 alpha=90.00 beta=90.00 gamma=107.10
Site moments in Bohr magnetons follow the coordinates.
Atoms (fractional coordinates):
Y: 0.105 0.211 0.750  0.02
Y: 0.895 0.789 0.250  0.02
Pu: 0.370 0.740 0.558  4.14
Pu: 0.630 0.260 0.058  4.14
Pu: 0.630 0.260 0.442  4.14
Pu: 0.370 0.740 0.942  4.14
Ni: 0.841 0.682 0.750  -0.57
Ni: 0.159 0.318 0.250  -0.57
N: 0.267 0.533 0.114  -0.19
N: 0.733 0.467 0.614  -0.19
N: 0.733 0.467 0.886  -0.19
N: 0.267 0.533 0.386  -0.19
N: 0.000 0.000 0.500  -0.24
N: 0.000 0.000 0.000  -0.24
N: 0.449 0.898 0.750  -0.17
N: 0.551 0.102 0.250  -0.17

Results
Volume, A^3/atom: 13.5
N(E_F), states/eV per atom: 1.58
Total magnetic moment, μB/cell: 13.993
Uncorrected formation energy, eV per atom: -1.04

=====

# 3
Compound: PuZr2NiN4
Source: Alexandria
Functional: PBE-GGA
Structure: optimized geometry

Unit cell a=3.243 b=5.671 c=11.111 alpha=90.00 beta=90.00 gamma=106.61
Site moments in Bohr magnetons follow the coordinates.
Atoms (fractional coordinates):
Pu: 0.110 0.219 0.750  4.55
Pu: 0.890 0.781 0.250  4.55
Zr: 0.368 0.736 0.556  0.02
Zr: 0.632 0.264 0.056  0.02
Zr: 0.632 0.264 0.444  0.02
Zr: 0.368 0.736 0.944  0.02
Ni: 0.842 0.685 0.750  -0.41
Ni: 0.158 0.315 0.250  -0.41
N: 0.272 0.544 0.116  -0.09
N: 0.728 0.456 0.616  -0.09
N: 0.728 0.456 0.884  -0.09
N: 0.272 0.544 0.384  -0.09
N: 0.000 0.000 0.500  -0.04
N: 0.000 0.000 0.000  -0.04
N: 0.457 0.913 0.750  -0.17
N: 0.543 0.087 0.250  -0.17

Results
Volume, A^3/atom: 12.2
N(E_F), states/eV per atom: 0.77
Total magnetic moment, μB/cell: 7.601
Uncorrected formation energy, eV per atom: -1.22

=====

# 4
Compound: Rb2NiN
Source: Alexandria
Functional: PBE-GGA
Structure: optimized geometry

Unit cell a=12.186 b=12.186 c=8.793 alpha=46.13 beta=46.13 gamma=90.00
Atoms (fractional coordinates):
Ni: 0.000 0.000 0.000
Ni: 0.750 0.250 0.500
Rb: 0.391 0.125 0.250
Rb: 0.359 0.625 0.250
Rb: 0.375 0.609 0.750
Rb: 0.875 0.641 0.750
N: 0.500 0.500 0.000
N: 0.250 0.750 0.500

Results
Volume, A^3/atom: 32.5
N(E_F), states/eV per atom: 0.58
Total magnetic moment, μB/cell: 0.003
Uncorrected formation energy, eV per atom: 0.03

=====

> Which value of volume does entry 3 give?

12.2 A^3/atom

=====

> Among the records above, which one has the highest total magnetic moment?

YPu2NiN4

=====

> What is the total magnetic moment in the third record?

7.601 μB/cell